Computed, not measured: a relaxed Li2La2YSi2 crystal at the PBE-GGA level of DFT.

As for the electronic total energy: -4.84 eV per atom. Its density of states at the Fermi level is 12.30 states/eV per cell. As for the uncorrected formation energy: -413 meV/atom.

The structure belongs to space group R-3m (No. 166, hexagonal axes); the cell edges are 4.4788, 4.4788 and 27.4903 Å and the angles 90.00°, 90.00° and 120.00°. Symmetry generates all atoms from Li at (0.0000, 0.0000, 0.1084), La at (0.0000, 0.0000, 0.3712), Y at (0.0000, 0.0000, 0.5000) and Si at (0.0000, 0.0000, 0.2306).